Compound: ThZn2Co2Ge
Source: Alexandria
Functional: PBE
Structure: optimized geometry

E in eV/atom: -4.827
Total moment in μB per cell: 1.9

Cell lengths 4.3555, 4.3555, 5.7164 Å; angles 90.00, 90.00, 90.00 degrees
Last column: nearest neighbours and their distance in Å.
Atoms (fractional coordinates):
1 Ge 0.0000 0.0000 0.0000  4 Co 2.18
2 Co 0.0000 0.5000 0.0000  2 Ge 2.18
3 Co 0.5000 0.0000 0.0000  2 Ge 2.18
4 Th 0.0000 0.0000 0.5000  2 Ge 2.86
5 Zn 0.5000 0.5000 0.2588  4 Co 2.63, 1 Zn 2.76
6 Zn 0.5000 0.5000 0.7412  4 Co 2.63, 1 Zn 2.76